# 1
The following is a DFT calculation (PBE) of an optimized crystal structure of KScC.

## Properties
Crystal system   hexagonal
Calculated total energy   -4.270 eV per atom
Calculated formation energy   1.28 eV per atom
Energy above the lowest structure with this stoichiometry   1319 meV/atom

abc: 6.4628 6.4628 7.8336
angles: 90.00 90.00 120.00
Closest atoms and distances in Å follow each position.
Positions (direct):
1 Sc 0.0000 0.0000 0.2500  2 C 1.96
2 Sc 0.0000 0.0000 0.7500  2 C 1.96
3 K 0.3333 0.6667 0.2500  3 Sc 3.73
4 K 0.6667 0.3333 0.7500  3 Sc 3.73
5 C 0.0000 0.0000 0.0000  2 Sc 1.96
6 C 0.0000 0.0000 0.5000  2 Sc 1.96

# 2
The following is a DFT calculation (PBE) of an optimized crystal structure of Ca2ZnGaO5.

## Properties
Crystal system   orthorhombic
Calculated total energy   -5.738 eV per atom

abc: 3.2721 6.7949 10.1733
angles: 90.00 90.00 103.93
Closest atoms and distances in Å follow each position.
Positions (direct):
1 Ca 0.8629 0.7257 0.8006  7 O 2.45-2.57
2 Ca 0.0975 0.1950 0.6639  6 O 2.31-2.42
3 Ca 0.1371 0.2743 0.3006  7 O 2.45-2.57
4 Ca 0.9025 0.8050 0.1639  6 O 2.31-2.42
5 Zn 0.7739 0.5477 0.5248  6 O 2.08-2.19
6 Zn 0.2261 0.4523 0.0248  6 O 2.08-2.19
7 Ga 0.5403 0.0806 0.9526  3 O 1.85-1.90
8 Ga 0.4597 0.9194 0.4526  3 O 1.85-1.90
9 O 0.3827 0.7655 0.9931  1 Zn 2.09, 1 Ga 2.12
10 O 0.6953 0.3906 0.9045  2 Zn 2.08, 1 Ga 2.10
11 O 0.5039 0.0079 0.7767  1 Ga 1.85
12 O 0.2727 0.5454 0.6641  2 Zn 2.16, 1 Ca 2.31
13 O 0.9393 0.8786 0.5437  2 Ga 1.90
14 O 0.6173 0.2345 0.4931  1 Zn 2.09, 1 Ga 2.12
15 O 0.3047 0.6094 0.4045  2 Zn 2.08, 1 Ga 2.10
16 O 0.4961 0.9921 0.2767  1 Ga 1.85
17 O 0.7273 0.4546 0.1641  2 Zn 2.16, 1 Ca 2.31
18 O 0.0607 0.1214 0.0437  2 Ga 1.90

# 3
The following is a DFT calculation (PBE) of an optimized crystal structure of TbTm4Te5.

## Properties
Crystal system   tetragonal
Calculated total energy   -5.017 eV per atom
Energy above the lowest structure with this stoichiometry   6 meV/atom

abc: 6.1061 7.4718 7.4718
angles: 80.39 65.88 65.88
Closest atoms and distances in Å follow each position.
Positions (direct):
1 Tb 0.0027 0.0000 0.0000  6 Te 3.05-3.11
2 Tm 0.3950 0.3977 0.8135  6 Te 3.00-3.07
3 Tm 0.7927 0.8135 0.6023  6 Te 3.00-3.07
4 Tm 0.2084 0.1865 0.3977  6 Te 3.00-3.07
5 Tm 0.6062 0.6023 0.1865  6 Te 3.00-3.07
6 Te 0.9042 0.4043 0.7886  5 Tm 3.03-3.07, 1 Tb 3.11
7 Te 0.3086 0.7886 0.5957  5 Tm 3.03-3.07, 1 Tb 3.11
8 Te 0.6928 0.2114 0.4043  5 Tm 3.03-3.07, 1 Tb 3.11
9 Te 0.0972 0.5957 0.2114  5 Tm 3.03-3.07, 1 Tb 3.11
10 Te 0.5026 0.0000 0.0000  4 Tm 3.00, 2 Tb 3.05

# 4
The following is a DFT calculation (PBE) of an optimized crystal structure of TbPaPd4.

## Properties
Crystal system   orthorhombic
Calculated total energy   -6.580 eV per atom
Calculated formation energy   -0.76 eV per atom
Energy above the lowest structure with this stoichiometry   0 meV/atom

abc: 4.1439 5.7458 10.2747
angles: 90.00 101.63 90.00
Closest atoms and distances in Å follow each position.
Positions (direct):
1 Tb 0.7254 0.2500 0.4507  7 Pd 2.97-3.12
2 Tb 0.2746 0.7500 0.5493  7 Pd 2.97-3.12
3 Pa 0.4206 0.2500 0.8413  11 Pd 2.87-3.01
4 Pa 0.5794 0.7500 0.1587  11 Pd 2.87-3.01
5 Pd 0.0000 0.0000 0.0000  8 Pd 2.87-2.92, 4 Pa 2.98
6 Pd 0.0000 0.5000 0.0000  8 Pd 2.87-2.92, 4 Pa 2.98
7 Pd 0.1451 0.0078 0.2902  5 Pd 2.78-2.96, 2 Pa 2.87, 3 Tb 2.97-3.00
8 Pd 0.8549 0.5078 0.7098  5 Pd 2.78-2.96, 2 Pa 2.87, 3 Tb 2.97-3.00
9 Pd 0.1451 0.4922 0.2902  5 Pd 2.78-2.96, 2 Pa 2.87, 3 Tb 2.97-3.00
10 Pd 0.8549 0.9922 0.7098  5 Pd 2.78-2.96, 2 Pa 2.87, 3 Tb 2.97-3.00
11 Pd 0.5702 0.2500 0.1403  3 Pa 2.88-3.01, 8 Pd 2.89-2.92, 1 Tb 3.12
12 Pd 0.4298 0.7500 0.8597  3 Pa 2.88-3.01, 8 Pd 2.89-2.92, 1 Tb 3.12

# 5
The following is a DFT calculation (PBE) of an optimized crystal structure of Li2ZrMo.

## Properties
Crystal system   orthorhombic
Calculated total energy   -5.514 eV per atom
Calculated formation energy   0.29 eV per atom
Energy above the lowest structure with this stoichiometry   64 meV/atom

abc: 5.9254 5.9254 4.4031
angles: 68.15 68.15 30.47
Closest atoms and distances in Å follow each position.
Positions (direct):
1 Li 0.0131 0.0131 0.9867  4 Li 2.71, 2 Mo 2.94
2 Li 0.4869 0.4869 0.5133  4 Li 2.71, 2 Mo 2.94
3 Mo 0.7500 0.7500 0.7500  4 Zr 2.70, 4 Li 2.94
4 Zr 0.2500 0.2500 0.2500  4 Mo 2.70

# 6
The following is a DFT calculation (PBE) of an optimized crystal structure of AcTlZnSn.

## Properties
Crystal system   cubic
Calculated total energy   -3.162 eV per atom
Calculated formation energy   -0.22 eV per atom

abc: 5.4313 5.4313 5.4313
angles: 60.00 60.00 60.00
Closest atoms and distances in Å follow each position.
Positions (direct):
1 Zn 0.5000 0.5000 0.5000  4 Sn 3.33, 4 Ac 3.33
2 Ac 0.2500 0.2500 0.2500  4 Zn 3.33, 4 Tl 3.33
3 Tl 0.0000 0.0000 0.0000  4 Ac 3.33, 4 Sn 3.33
4 Sn 0.7500 0.7500 0.7500  4 Zn 3.33, 4 Tl 3.33

# 7
The following is a DFT calculation (PBE) of an optimized crystal structure of MgCd3Rh4.

## Properties
Crystal system   tetragonal
Calculated total energy   -4.379 eV per atom
Calculated formation energy   -0.16 eV per atom

abc: 3.1951 3.1951 12.8922
angles: 90.00 90.00 90.00
Closest atoms and distances in Å follow each position.
Positions (direct):
1 Mg 0.5000 0.5000 0.0000  8 Rh 2.70
2 Rh 0.0000 0.0000 0.8855  4 Mg 2.70, 4 Cd 2.81, 1 Rh 2.95
3 Rh 0.0000 0.0000 0.1145  4 Mg 2.70, 4 Cd 2.81, 1 Rh 2.95
4 Rh 0.0000 0.0000 0.3712  8 Cd 2.79-2.80
5 Rh 0.0000 0.0000 0.6288  8 Cd 2.79-2.80
6 Cd 0.5000 0.5000 0.2441  8 Rh 2.79-2.81
7 Cd 0.5000 0.5000 0.5000  8 Rh 2.80
8 Cd 0.5000 0.5000 0.7559  8 Rh 2.79-2.81

# 8
The following is a DFT calculation (PBE) of an optimized crystal structure of Tb4Nd3Ho.

## Properties
Crystal system   orthorhombic
Calculated total energy   -4.651 eV per atom
Calculated formation energy   0.02 eV per atom
Energy above the lowest structure with this stoichiometry   0 meV/atom

abc: 6.3240 7.3351 11.5402
angles: 90.00 90.00 90.00
Closest atoms and distances in Å follow each position.
Positions (direct):
1 Tb 0.1483 0.8770 0.0000  6 Tb 3.54-3.64, 4 Nd 3.58-3.66, 2 Ho 3.63-3.71
2 Tb 0.6476 0.1226 0.0000  6 Tb 3.56-3.64, 4 Nd 3.58-3.70, 2 Ho 3.64-3.66
3 Tb 0.9814 0.1230 0.2480  6 Tb 3.54-3.64, 1 Ho 3.55, 5 Nd 3.59-3.69
4 Tb 0.4814 0.8770 0.2520  6 Tb 3.54-3.64, 1 Ho 3.55, 5 Nd 3.59-3.69
5 Tb 0.1476 0.8774 0.5000  6 Tb 3.56-3.64, 4 Nd 3.58-3.70, 2 Ho 3.64-3.66
6 Tb 0.6483 0.1230 0.5000  6 Tb 3.54-3.64, 4 Nd 3.58-3.66, 2 Ho 3.63-3.71
7 Tb 0.4814 0.8770 0.7480  6 Tb 3.54-3.64, 1 Ho 3.55, 5 Nd 3.59-3.69
8 Tb 0.9814 0.1230 0.7520  6 Tb 3.54-3.64, 1 Ho 3.55, 5 Nd 3.59-3.69
9 Nd 0.6471 0.6272 0.0000  4 Nd 3.58-3.59, 6 Tb 3.59-3.70, 2 Ho 3.67-3.68
10 Nd 0.9816 0.6259 0.2499  4 Nd 3.58-3.66, 6 Tb 3.58-3.69, 2 Ho 3.58-3.59
11 Nd 0.4816 0.3741 0.2501  4 Nd 3.58-3.66, 6 Tb 3.58-3.69, 2 Ho 3.58-3.59
12 Nd 0.1471 0.3728 0.5000  4 Nd 3.58-3.59, 6 Tb 3.59-3.70, 2 Ho 3.67-3.68
13 Nd 0.4816 0.3741 0.7499  4 Nd 3.58-3.66, 6 Tb 3.58-3.69, 2 Ho 3.58-3.59
14 Nd 0.9816 0.6259 0.7501  4 Nd 3.58-3.66, 6 Tb 3.58-3.69, 2 Ho 3.58-3.59
15 Ho 0.1463 0.3716 0.0000  6 Tb 3.55-3.71, 6 Nd 3.58-3.68
16 Ho 0.6463 0.6284 0.5000  6 Tb 3.55-3.71, 6 Nd 3.58-3.68

# 9
The following is a DFT calculation (PBE) of an optimized crystal structure of PrSmGdHo.

## Properties
Crystal system   cubic
Calculated total energy   -6.926 eV per atom
Calculated formation energy   0.11 eV per atom

abc: 5.7517 5.7517 5.7517
angles: 60.00 60.00 60.00
Closest atoms and distances in Å follow each position.
Positions (direct):
1 Pr 0.7500 0.7500 0.7500  4 Gd 3.52, 4 Ho 3.52
2 Gd 0.5000 0.5000 0.5000  4 Pr 3.52, 4 Sm 3.52
3 Ho 0.0000 0.0000 0.0000  4 Pr 3.52, 4 Sm 3.52
4 Sm 0.2500 0.2500 0.2500  4 Gd 3.52, 4 Ho 3.52

# 10
The following is a DFT calculation (PBE) of an optimized crystal structure of Pr2SnBr2.

## Properties
Crystal system   triclinic
Calculated total energy   -4.529 eV per atom

abc: 4.6243 9.8488 8.6584
angles: 67.79 90.02 76.34
Closest atoms and distances in Å follow each position.
Positions (direct):
1 Pr 0.3486 0.8044 0.9520  3 Sn 3.16-3.31, 4 Br 3.24-3.31
2 Pr 0.6478 0.2022 0.5594  4 Br 2.96-3.29, 2 Sn 3.10
3 Pr 0.6514 0.1956 0.0480  3 Sn 3.16-3.31, 4 Br 3.24-3.31
4 Pr 0.3522 0.7978 0.4406  4 Br 2.96-3.29, 2 Sn 3.10
5 Sn 0.8408 0.8201 0.1933  5 Pr 3.10-3.31
6 Sn 0.1592 0.1799 0.8067  5 Pr 3.10-3.31
7 Br 0.5253 0.4453 0.2178  3 Pr 2.97-3.31
8 Br 0.8165 0.8681 0.6700  5 Pr 2.96-3.29
9 Br 0.1835 0.1319 0.3300  5 Pr 2.96-3.29
10 Br 0.4746 0.5547 0.7822  3 Pr 2.97-3.31

# 11
The following is a DFT calculation (PBE) of an optimized crystal structure of EuPuPdPt.

## Properties
Crystal system   cubic
Calculated total energy   -9.596 eV per atom
Calculated formation energy   -0.64 eV per atom

abc: 5.0286 5.0286 5.0286
angles: 60.00 60.00 60.00
Closest atoms and distances in Å follow each position.
Positions (direct):
1 Eu 0.0000 0.0000 0.0000  4 Pd 3.08, 4 Pt 3.08
2 Pd 0.2500 0.2500 0.2500  4 Pu 3.08, 4 Eu 3.08
3 Pt 0.7500 0.7500 0.7500  4 Pu 3.08, 4 Eu 3.08
4 Pu 0.5000 0.5000 0.5000  4 Pt 3.08, 4 Pd 3.08

# 12
The following is a DFT calculation (PBE) of an optimized crystal structure of EuGaAs.

## Properties
Crystal system   trigonal
Calculated total energy   -6.717 eV per atom
Calculated formation energy   -0.73 eV per atom

abc: 4.7940 4.2375 4.2375
angles: 120.00 90.00 90.00
Closest atoms and distances in Å follow each position.
Positions (direct):
1 Eu 0.6698 0.6667 0.3333  3 As 3.08, 3 Ga 3.10
2 As 0.0592 0.0000 0.0000  3 Ga 2.65
3 Ga 0.2710 0.3333 0.6667  3 As 2.65